i) This record from Alexandria via LeMat-Bulk describes a relaxed structure of BaTi2Pb2. The functional is PBE.

Unit cell a=7.4848 b=7.4848 c=7.4848 alpha=143.82 beta=143.82 gamma=52.10
Last column: nearest neighbours and their distance in Å.
Fractional coordinates of all 5 atoms:
1 Ba 0.0000 0.0000 0.0000  8 Pb 3.70, 8 Ti 4.09
2 Ti 0.2500 0.7500 0.5000  4 Pb 2.86
3 Ti 0.7500 0.2500 0.5000  4 Pb 2.86
4 Pb 0.3743 0.3743 0.0000  4 Ti 2.86
5 Pb 0.6257 0.6257 0.0000  4 Ti 2.86

The density of states at the Fermi level comes out at 0.6193 states/eV/atom.

ii) This record from Alexandria via LeMat-Bulk describes a relaxed structure of BaTi2Pb2. The functional is PBE.

Unit cell a=8.8539 b=8.8539 c=3.2488 alpha=90.00 beta=90.00 gamma=90.00
Last column: nearest neighbours and their distance in Å.
Fractional coordinates of all 10 atoms:
1 Ba 0.0000 0.0000 0.0000  2 Ba 3.25, 4 Ti 3.59
2 Ba 0.5000 0.5000 0.0000  2 Ba 3.25, 4 Ti 3.59
3 Ti 0.1100 0.3900 0.0000  1 Ti 2.75, 4 Pb 3.06
4 Ti 0.3900 0.8900 0.0000  1 Ti 2.75, 4 Pb 3.06
5 Ti 0.6100 0.1100 0.0000  1 Ti 2.75, 4 Pb 3.06
6 Ti 0.8900 0.6100 0.0000  1 Ti 2.75, 4 Pb 3.06
7 Pb 0.1751 0.6751 0.5000  6 Ti 3.06-3.14, 2 Pb 3.25
8 Pb 0.3249 0.1751 0.5000  6 Ti 3.06-3.14, 2 Pb 3.25
9 Pb 0.6751 0.8249 0.5000  6 Ti 3.06-3.14, 2 Pb 3.25
10 Pb 0.8249 0.3249 0.5000  6 Ti 3.06-3.14, 2 Pb 3.25

The density of states at the Fermi level comes out at 1.1213 states/eV/atom.

On energetic grounds, i) is preferred over the next structure by 0.116 eV/atom.